1.
PBE-GGA K2BaSi2, optimized geometry; spin magnetization = 0.000 μB/cell; density of states at the Fermi level = 0.4626 states/eV/atom; uncorrected formation energy = -0.01 eV per atom
1.0
4.929 0.000 0.000
0.000 4.929 0.000
2.465 2.465 7.259
Si Ba K
2 1 2
Direct
0.578 0.578 0.843
0.422 0.422 0.157
0.000 0.000 0.000
0.750 0.250 0.500
0.250 0.750 0.500

=====

2.
PBE-GGA LiTlCu, optimized geometry; spin magnetization = 0.000 μB/cell; density of states at the Fermi level = 0.8128 states/eV/atom; formation energy from the elements = 0.0846 eV/atom
1.0
-2.415 -3.711 0.209
0.890 -3.052 3.088
-2.810 -0.628 3.369
Tl Li Cu
1 1 1
Direct
0.500 0.500 0.500
0.000 0.000 0.000
0.750 0.750 0.750

=====

3.
PBE-GGA Sc3Zn2Cu4, optimized geometry; spin magnetization = 0.000 μB/cell; density of states at the Fermi level = 0.6530 states/eV/atom; formation energy from the elements = -0.2654 eV/atom
1.0
4.260 0.000 0.000
-2.130 4.510 -1.846
0.000 -0.892 7.994
Cu Sc Zn
4 3 2
Direct
0.729 0.457 0.063
0.067 0.133 0.401
0.271 0.543 0.937
0.933 0.867 0.599
0.000 0.000 0.000
0.654 0.308 0.684
0.346 0.692 0.316
0.362 0.725 0.696
0.638 0.275 0.304

=====

4.
PBE-GGA LaNd2Y, optimized geometry; spin magnetization = 0.000 μB/cell; density of states at the Fermi level = 1.4727 states/eV/atom; formation energy from the elements = 0.0132 eV/atom
1.0
5.198 0.000 0.479
0.000 7.361 0.000
-0.666 0.000 7.240
Nd La Y
4 2 2
Direct
0.500 0.000 0.746
0.500 0.000 0.254
0.500 0.500 0.254
0.500 0.500 0.746
0.000 0.250 0.000
0.000 0.750 0.000
0.000 0.250 0.500
0.000 0.750 0.500